1.
Li2NiW | PBE | optimized geometry

a b c (Å): 5.2553 5.2553 5.2553
angles (deg): 141.62 141.62 55.40
Closest atoms and distances in Å follow each position.
Positions (direct):
Ni  0.2500  0.7500  0.5000  4 W 2.44
Li  0.0000  0.0000  0.0000  4 Li 2.44
W  0.7500  0.2500  0.5000  4 Ni 2.44
Li  0.5000  0.5000  0.0000  4 Li 2.44

Output
- Energy: -20.54 eV/f.u.
- ΔE_f: 0.50 eV/atom
- Total magnetization: 0.0 μB per formula unit
- Polymorph energy (0 for the lowest one): 0.305 eV/atom
- Space-group type: I4/mmm
- V: 55.5 Å³/cell

---

2.
Li2NiW | PBE | optimized geometry

a b c (Å): 9.2974 9.2974 9.2974
angles (deg): 16.43 16.43 16.43
Closest atoms and distances in Å follow each position.
Positions (direct):
Li  0.9918  0.9918  0.9918  3 Ni 2.57, 6 Li 2.66
Ni  0.2500  0.2500  0.2500  6 Li 2.57, 6 Ni 2.66
W  0.7500  0.7500  0.7500  6 W 2.66, 6 Li 2.95
Li  0.5082  0.5082  0.5082  3 Ni 2.57, 6 Li 2.66

Output
- Energy: -21.44 eV/f.u.
- ΔE_f: 0.28 eV/atom
- Total magnetization: 0.0 μB per formula unit
- Polymorph energy (0 for the lowest one): 0.082 eV/atom
- Space-group type: R-3m
- V: 56.1 Å³/cell

---

3.
Li2NiW | PBE | optimized geometry

a b c (Å): 5.1626 5.1626 5.1626
angles (deg): 150.76 126.75 61.91
Closest atoms and distances in Å follow each position.
Positions (direct):
W  0.2668  0.7668  0.5000  2 Ni 2.51, 2 W 2.61, 4 Li 2.67
Li  0.7395  0.2395  0.5000  2 Ni 2.42, 4 Li 2.54-2.61, 4 W 2.67
Ni  0.5086  0.5086  0.0000  6 Li 2.42-2.66, 2 W 2.51, 2 Ni 2.61
Li  0.9851  0.9851  0.0000  4 Li 2.54-2.61, 4 Ni 2.66, 2 W 2.81

Output
- Energy: -20.69 eV/f.u.
- ΔE_f: 0.47 eV/atom
- Total magnetization: 0.0 μB per formula unit
- Polymorph energy (0 for the lowest one): 0.267 eV/atom
- Space-group type: Imm2
- V: 53.4 Å³/cell